Record 1
Material: Cd5Ru
Method: DFT, GGA-PBE
State: relaxed

Cell: 4.232 13.056 4.270 Å, 90.00 90.00 90.00°
Space group Cmmm (No. 65)
Unique sites:
Cd (0.000, 0.000, 0.000) (multiplicity 2)
Cd (0.000, 0.158, 0.500) (multiplicity 4)
Cd (0.000, 0.341, 0.000) (multiplicity 4)
Ru (0.000, 0.500, 0.500) (multiplicity 2)

The calculation puts the magnetic moment at 0.000 μB/atom. The value obtained for the formation energy is 0.80 eV/f.u. Its energy above the most stable polymorph in this dataset is 0 meV/atom. The value obtained for the raw total energy is -26.1 eV per cell.

Record 2
Material: Cd2Ru3
Method: DFT, GGA-PBE
State: relaxed

Cell: 2.8371 2.8371 34.9688 Å, 90.00 90.00 120.00°
Space group R-3m (No. 166, hexagonal axes)
Unique sites:
Cd (0.0000, 0.0000, 0.0983) (multiplicity 6)
Ru (0.0000, 0.0000, 0.3054) (multiplicity 6)
Ru (0.0000, 0.0000, 0.5000) (multiplicity 3)

The calculation puts the magnetic moment at 0.135 μB/atom. The value obtained for the formation energy is 1.59 eV/f.u. The value obtained for the raw total energy is -84.2 eV per cell.

Record 3
Material: CdRu3
Method: DFT, GGA-PBE
State: relaxed

Cell: 9.248 2.790 4.868 Å, 90.00 100.67 90.00°
Space group C2/m (No. 12)
Unique sites:
Cd (0.000, 0.000, 0.000) (multiplicity 2)
Ru (0.000, 0.500, 0.500) (multiplicity 2)
Ru (0.237, 0.000, 0.722) (multiplicity 4)

The calculation puts the magnetic moment at 0.161 μB/atom. The value obtained for the formation energy is 1.48 eV/f.u. The value obtained for the raw total energy is -54.5 eV per cell.

Record 4
Material: CdRu2
Method: DFT, GGA-PBE
State: relaxed

Cell: 5.660 3.946 8.573 Å, 90.00 90.00 90.00°
Space group Pnma (No. 62)
Unique sites:
Cd (0.114, 0.250, 0.086) (multiplicity 4)
Ru (0.103, 0.250, 0.418) (multiplicity 4)
Ru (0.113, 0.250, 0.729) (multiplicity 4)

The calculation puts the magnetic moment at 0.000 μB/atom. The value obtained for the formation energy is 1.35 eV/f.u. Its energy above the most stable polymorph in this dataset is 279 meV/atom. The value obtained for the raw total energy is -72.5 eV per cell.

Record 5
Material: CdRu2
Method: DFT, GGA-PBE
State: relaxed

Cell: 7.379 7.379 7.379 Å, 90.00 90.00 90.00°
Space group Fd-3m (No. 227, origin choice 2)
Unique sites:
Cd (0.125, 0.125, 0.125) (multiplicity 8)
Ru (0.000, 0.000, 0.500) (multiplicity 16)

The calculation puts the magnetic moment at 0.453 μB/atom. The value obtained for the formation energy is 1.42 eV/f.u. Its energy above the most stable polymorph in this dataset is 302 meV/atom. The value obtained for the raw total energy is -144.3 eV per cell.

Record 6
Material: Cd3Ru2
Method: DFT, GGA-PBE
State: relaxed

Cell: 2.9103 2.9103 36.1887 Å, 90.00 90.00 120.00°
Space group R-3m (No. 166, hexagonal axes)
Unique sites:
Cd (0.0000, 0.0000, 0.0000) (multiplicity 3)
Cd (0.0000, 0.0000, 0.2046) (multiplicity 6)
Ru (0.0000, 0.0000, 0.3977) (multiplicity 6)

The calculation puts the magnetic moment at 0.275 μB/atom. The value obtained for the formation energy is 1.83 eV/f.u. The value obtained for the raw total energy is -58.4 eV per cell.

Record 7
Material: CdRu3
Method: DFT, GGA-PBE
State: relaxed

Cell: 4.466 5.519 5.008 Å, 90.00 90.00 90.00°
Space group Pmmn (No. 59, origin choice 2)
Unique sites:
Cd (0.250, 0.250, 0.134) (multiplicity 2)
Ru (0.250, 0.513, 0.633) (multiplicity 4)
Ru (0.250, 0.750, 0.179) (multiplicity 2)

The calculation puts the magnetic moment at 0.000 μB/atom. The value obtained for the formation energy is 1.55 eV/f.u. The value obtained for the raw total energy is -54.4 eV per cell.

Record 8
Material: Cd5Ru
Method: DFT, GGA-PBE
State: relaxed

Cell: 5.5121 5.5121 4.9518 Å, 90.00 90.00 120.00°
Space group P6/mmm (No. 191)
Unique sites:
Cd (0.0000, 0.5000, 0.0000) (multiplicity 3)
Cd (0.3333, 0.6667, 0.5000) (multiplicity 2)
Ru (0.0000, 0.0000, 0.5000) (multiplicity 1)

The calculation puts the magnetic moment at 0.248 μB/atom. The value obtained for the formation energy is 3.33 eV/f.u. Its energy above the most stable polymorph in this dataset is 422 meV/atom. The value obtained for the raw total energy is -10.5 eV per cell.

Record 9
Material: CdRu4
Method: DFT, GGA-PBE
State: relaxed

Cell: 6.239 6.239 3.863 Å, 90.00 90.00 90.00°
Space group I4/m (No. 87)
Unique sites:
Cd (0.000, 0.000, 0.000) (multiplicity 2)
Ru (0.095, 0.688, 0.500) (multiplicity 8)

The calculation puts the magnetic moment at 0.000 μB/atom. The value obtained for the formation energy is 1.78 eV/f.u. Its energy above the most stable polymorph in this dataset is 0 meV/atom. The value obtained for the raw total energy is -72.5 eV per cell.

Record 10
Material: CdRu3
Method: DFT, GGA-PBE
State: relaxed

Cell: 2.785 2.785 7.919 Å, 90.00 90.00 90.00°
Space group P4/mmm (No. 123)
Unique sites:
Cd (0.000, 0.000, 0.000) (multiplicity 1)
Ru (0.000, 0.000, 0.500) (multiplicity 1)
Ru (0.500, 0.500, 0.275) (multiplicity 2)

The calculation puts the magnetic moment at 0.000 μB/atom. The value obtained for the formation energy is 1.03 eV/f.u. The value obtained for the raw total energy is -27.7 eV per cell.

Record 11
Material: CdRu2
Method: DFT, GGA-PBE
State: relaxed

Cell: 10.589 2.827 6.566 Å, 90.00 105.07 90.00°
Space group Cm (No. 8)
Unique sites:
Cd (0.000, 0.000, 0.000) (multiplicity 2)
Cd (0.162, 0.500, 0.340) (multiplicity 2)
Ru (0.041, 0.000, 0.613) (multiplicity 2)
Ru (0.227, 0.500, 0.904) (multiplicity 2)
Ru (0.336, 0.000, 0.656) (multiplicity 2)
Ru (0.377, 0.000, 0.273) (multiplicity 2)

The calculation puts the magnetic moment at 0.000 μB/atom. The value obtained for the formation energy is 1.17 eV/f.u. Its energy above the most stable polymorph in this dataset is 217 meV/atom. The value obtained for the raw total energy is -73.2 eV per cell.

Record 12
Material: CdRu4
Method: DFT, GGA-PBE
State: relaxed

Cell: 3.863 3.863 11.279 Å, 90.00 90.00 90.00°
Space group I4/mmm (No. 139)
Unique sites:
Cd (0.000, 0.000, 0.000) (multiplicity 2)
Ru (0.000, 0.000, 0.397) (multiplicity 4)
Ru (0.000, 0.500, 0.250) (multiplicity 4)

The calculation puts the magnetic moment at 0.000 μB/atom. The value obtained for the formation energy is 2.33 eV/f.u. Its energy above the most stable polymorph in this dataset is 111 meV/atom. The value obtained for the raw total energy is -71.4 eV per cell.